Here is a relaxed Pa2Zn3Au crystal from Alexandria via LeMat-Bulk. Energies are from PBE.

Computed properties:
As for the total magnetization: 0.125 μB per atom. For the density of states at the Fermi level, the calculation gives 8.3 states/eV/f.u. Its crystal system is orthorhombic. Its density is 11.99 Mg/m³. The calculated formation energy is -213.2 meV per atom.

CIF file:
```
data_Pa2Zn3Au
_cell_length_a 6.309
_cell_length_b 9.310
_cell_length_c 16.130
_cell_angle_alpha 90.00
_cell_angle_beta 90.00
_cell_angle_gamma 90.00
_space_group_name_H-M_alt 'F m m m'
_space_group_IT_number 69
_space_group_name_Hall '-F 2 2'
loop_
_atom_site_label
_atom_site_type_symbol
_atom_site_fract_x
_atom_site_fract_y
_atom_site_fract_z
Pa1 Pa 0.239 0.000 0.000
Pa2 Pa 0.250 0.250 0.250
Zn1 Zn 0.000 0.000 0.336
Zn2 Zn 0.000 0.244 0.418
Au1 Au 0.000 0.000 0.167
```

---

Here is a relaxed Pa3Zn2Au6 crystal from Alexandria via LeMat-Bulk. Energies are from PBE.

Computed properties:
As for the total magnetization: 0.314 μB per atom. For the density of states at the Fermi level, the calculation gives 18.9 states/eV/f.u. Its crystal system is tetragonal. Its density is 14.17 Mg/m³. The calculated formation energy is -167.1 meV per atom.

CIF file:
```
data_Pa3Zn2Au6
_cell_length_a 4.311
_cell_length_b 4.311
_cell_length_c 25.295
_cell_angle_alpha 90.00
_cell_angle_beta 90.00
_cell_angle_gamma 90.00
_space_group_name_H-M_alt 'I 4/m m m'
_space_group_IT_number 139
_space_group_name_Hall '-I 4 2'
loop_
_atom_site_label
_atom_site_type_symbol
_atom_site_fract_x
_atom_site_fract_y
_atom_site_fract_z
Pa1 Pa 0.000 0.000 0.000
Pa2 Pa 0.000 0.000 0.199
Zn1 Zn 0.000 0.000 0.453
Au1 Au 0.000 0.000 0.314
Au2 Au 0.000 0.500 0.105
```